[1]
Below is an optimized crystal structure of BeCd2Si, with properties calculated at the PBE level.

Cell lengths 2.926, 2.926, 8.128 Å; angles 90.00, 90.00, 90.00 degrees
Element x y z (fractional)
Be  0.500  0.500  0.720
Cd  0.500  0.500  0.265
Cd  0.000  0.000  0.957
Si  0.000  0.000  0.558

Summary:
E_form (uncorrected), eV/atom: 0.382
Total magnetic moment, μB per cell: 0.00
Volume, Å³/cell: 70
Polymorph energy (0 for the lowest one), meV/atom: 99
Mass density, g cm⁻³: 6.25
VASP energy, eV per atom: -2.36

[2]
Below is an optimized crystal structure of CoCu3Tc, with properties calculated at the PBE level.

Cell lengths 4.306, 4.306, 4.306 Å; angles 90.00, 90.00, 90.00 degrees
Site moments in Bohr magnetons follow the coordinates.
Element x y z (fractional)
Co  0.000  0.000  0.000  1.62
Cu  0.500  0.000  0.000  0.11
Cu  0.000  0.500  0.000  0.13
Cu  0.000  0.000  0.500  0.13
Tc  0.500  0.500  0.500  2.71

Summary:
Total magnetic moment, μB per cell: 4.82
Volume, Å³/cell: 80
Polymorph energy (0 for the lowest one), meV/atom: 0
Formation enthalpy at 0 K, eV per atom: 1.29
Mass density, g cm⁻³: 7.23
VASP energy, eV per atom: -4.66

[3]
Below is an optimized crystal structure of NpTaAgO6, with properties calculated at the PBE level.

Cell lengths 5.544, 5.544, 10.034 Å; angles 90.00, 90.00, 120.00 degrees
Site moments in Bohr magnetons follow the coordinates.
Element x y z (fractional)
O  0.990  0.368  0.644  -0.03
O  0.010  0.632  0.356  -0.03
O  0.632  0.010  0.856  -0.03
O  0.368  0.378  0.356  -0.03
O  0.368  0.990  0.144  -0.03
O  0.990  0.622  0.856  -0.03
O  0.622  0.632  0.144  -0.03
O  0.378  0.368  0.856  -0.03
O  0.378  0.010  0.644  -0.03
O  0.622  0.990  0.356  -0.03
O  0.010  0.378  0.144  -0.03
O  0.632  0.622  0.644  -0.03
Np  0.667  0.333  0.250  1.23
Np  0.333  0.667  0.750  1.23
Ag  0.000  0.000  0.500  -0.02
Ag  0.000  0.000  0.000  -0.02
Ta  0.333  0.667  0.250  0.00
Ta  0.667  0.333  0.750  0.00

Summary:
E_form (uncorrected), eV/atom: -2.285
Total magnetic moment, μB per cell: 2.00
Volume, Å³/cell: 267
Mass density, g cm⁻³: 7.73
VASP energy, eV per atom: -8.66

[4]
Below is an optimized crystal structure of Y3PbO, with properties calculated at the PBE level.

Cell lengths 4.612, 4.612, 8.193 Å; angles 90.00, 90.00, 90.00 degrees
Site moments in Bohr magnetons follow the coordinates.
Element x y z (fractional)
O  0.500  0.500  0.636  0.02
Y  0.500  0.000  0.634  0.14
Y  0.000  0.000  0.997  0.47
Y  0.000  0.500  0.634  0.14
Pb  0.000  0.000  0.363  0.03

Summary:
E_form (uncorrected), eV/atom: -0.685
Total magnetic moment, μB per cell: 1.82
Volume, Å³/cell: 174
Mass density, g cm⁻³: 4.67
VASP energy, eV per atom: -6.30

[5]
Below is an optimized crystal structure of Cs6K8Hg, with properties calculated at the PBE level.

Cell lengths 11.231, 11.231, 11.231 Å; angles 72.37, 72.37, 72.37 degrees
Element x y z (fractional)
Cs  0.830  0.558  0.378
Cs  0.558  0.378  0.830
Cs  0.170  0.442  0.622
Cs  0.442  0.622  0.170
Cs  0.622  0.170  0.442
Cs  0.378  0.830  0.558
K  0.967  0.094  0.678
K  0.322  0.033  0.906
K  0.906  0.322  0.033
K  0.237  0.237  0.237
K  0.763  0.763  0.763
K  0.678  0.967  0.094
K  0.094  0.678  0.967
K  0.033  0.906  0.322
Hg  0.000  0.000  0.000

Summary:
Total magnetic moment, μB per cell: 0.00
Volume, Å³/cell: 1251
Formation enthalpy at 0 K, eV per atom: -0.02
Mass density, g cm⁻³: 1.74
VASP energy, eV per atom: -0.96

[6]
Below is an optimized crystal structure of Zr2ZnBiSb, with properties calculated at the PBE level.

Cell lengths 5.183, 5.183, 5.018 Å; angles 90.00, 90.00, 90.00 degrees
Element x y z (fractional)
Sb  0.500  0.500  0.500
Zn  0.000  0.000  0.000
Zr  0.000  0.500  0.000
Zr  0.500  0.000  0.000
Bi  0.000  0.000  0.500

Summary:
E_form (uncorrected), eV/atom: 0.511
Total magnetic moment, μB per cell: 0.00
Volume, Å³/cell: 135
Mass density, g cm⁻³: 7.13
VASP energy, eV per atom: -4.76

[7]
Below is an optimized crystal structure of ErGa2NiRu, with properties calculated at the PBE level.

Cell lengths 4.111, 4.111, 5.846 Å; angles 110.59, 110.59, 90.00 degrees
Element x y z (fractional)
Ru  0.250  0.750  0.500
Ni  0.750  0.250  0.500
Ga  0.376  0.376  0.752
Ga  0.624  0.624  0.248
Er  0.000  0.000  0.000

Summary:
Total magnetic moment, μB per cell: 0.00
Volume, Å³/cell: 86
Formation enthalpy at 0 K, eV per atom: -0.49
Mass density, g cm⁻³: 9.03
VASP energy, eV per atom: -5.63

[8]
Below is an optimized crystal structure of LaBe, with properties calculated at the PBE level.

Cell lengths 10.644, 10.644, 3.899 Å; angles 90.00, 90.00, 90.00 degrees
Element x y z (fractional)
Be  0.776  0.776  0.000
Be  0.224  0.224  0.000
Be  0.276  0.276  0.500
Be  0.776  0.224  0.000
Be  0.276  0.724  0.500
Be  0.724  0.724  0.500
Be  0.724  0.276  0.500
Be  0.224  0.776  0.000
La  0.726  0.000  0.500
La  0.226  0.500  0.000
La  0.000  0.274  0.500
La  0.500  0.774  0.000
La  0.274  0.000  0.500
La  0.774  0.500  0.000
La  0.000  0.726  0.500
La  0.500  0.226  0.000

Summary:
Total magnetic moment, μB per cell: 0.00
Volume, Å³/cell: 442
Polymorph energy (0 for the lowest one), meV/atom: 273
Formation enthalpy at 0 K, eV per atom: 0.31
Mass density, g cm⁻³: 4.45
VASP energy, eV per atom: -4.01

Copy entry 4 word for word.
Below is an optimized crystal structure of Y3PbO, with properties calculated at the PBE level.

Cell lengths 4.612, 4.612, 8.193 Å; angles 90.00, 90.00, 90.00 degrees
Site moments in Bohr magnetons follow the coordinates.
Element x y z (fractional)
O  0.500  0.500  0.636  0.02
Y  0.500  0.000  0.634  0.14
Y  0.000  0.000  0.997  0.47
Y  0.000  0.500  0.634  0.14
Pb  0.000  0.000  0.363  0.03

Summary:
E_form (uncorrected), eV/atom: -0.685
Total magnetic moment, μB per cell: 1.82
Volume, Å³/cell: 174
Mass density, g cm⁻³: 4.67
VASP energy, eV per atom: -6.30

> volume of number 7 (ErGa2NiRu)?

86 Å³/cell

Copy entry 2 word for word.
Below is an optimized crystal structure of CoCu3Tc, with properties calculated at the PBE level.

Cell lengths 4.306, 4.306, 4.306 Å; angles 90.00, 90.00, 90.00 degrees
Site moments in Bohr magnetons follow the coordinates.
Element x y z (fractional)
Co  0.000  0.000  0.000  1.62
Cu  0.500  0.000  0.000  0.11
Cu  0.000  0.500  0.000  0.13
Cu  0.000  0.000  0.500  0.13
Tc  0.500  0.500  0.500  2.71

Summary:
Total magnetic moment, μB per cell: 4.82
Volume, Å³/cell: 80
Polymorph energy (0 for the lowest one), meV/atom: 0
Formation enthalpy at 0 K, eV per atom: 1.29
Mass density, g cm⁻³: 7.23
VASP energy, eV per atom: -4.66

> Number 1 is which compound?

BeCd2Si